(1)
DFT (GGA-PBE) results for a relaxed Sr2NpOs2N6 crystal.

abc: 6.817 6.817 6.817
angles: 53.32 53.32 53.32
Element x y z (fractional)
Sr (0.215, 0.215, 0.215)
Sr (0.785, 0.785, 0.785)
Np (0.000, 0.000, 0.000)
Os (0.432, 0.432, 0.432)
Os (0.568, 0.568, 0.568)
N (0.240, 0.240, 0.751)
N (0.240, 0.751, 0.240)
N (0.249, 0.760, 0.760)
N (0.751, 0.240, 0.240)
N (0.760, 0.249, 0.760)
N (0.760, 0.760, 0.249)

## Properties
energy = -8.467 eV/atom
V = 17.18 Å³/atom



(2)
DFT (GGA-PBE) results for a relaxed NpPN3 crystal.

abc: 5.999 5.999 6.834
angles: 90.00 90.00 152.09
Element x y z (fractional)
Np (0.206, 0.794, 0.750)
Np (0.794, 0.206, 0.250)
P (0.064, 0.936, 0.250)
P (0.936, 0.064, 0.750)
N (0.157, 0.843, 0.072)
N (0.157, 0.843, 0.428)
N (0.481, 0.519, 0.250)
N (0.519, 0.481, 0.750)
N (0.843, 0.157, 0.572)
N (0.843, 0.157, 0.928)

## Properties
energy = -9.088 eV/atom
V = 11.51 Å³/atom



(3)
DFT (GGA-PBE) results for a relaxed Np3PN5 crystal.

abc: 7.032 7.032 7.032
angles: 124.95 124.95 81.63
Element x y z (fractional)
Np (0.178, 0.678, 0.857)
Np (0.250, 0.250, 0.000)
Np (0.322, 0.178, 0.500)
Np (0.678, 0.822, 0.500)
Np (0.750, 0.750, 0.000)
Np (0.822, 0.322, 0.143)
P (0.250, 0.750, 0.500)
P (0.750, 0.250, 0.500)
N (0.000, 0.000, 0.000)
N (0.012, 0.792, 0.500)
N (0.208, 0.708, 0.220)
N (0.292, 0.512, 0.500)
N (0.488, 0.988, 0.780)
N (0.500, 0.500, 0.000)
N (0.512, 0.012, 0.220)
N (0.708, 0.488, 0.500)
N (0.792, 0.292, 0.780)
N (0.988, 0.208, 0.500)

## Properties
energy = -10.466 eV/atom
V = 12.49 Å³/atom